A plane-wave DFT calculation with SCAN was carried out for a crystal of TlPAu relaxed with PBEsol.

Calculated values
SG: F-43m, No. 216
ΔH_f (0 K): 0.418 eV/atom
crystal system: cubic
total magnetic moment: 0.00 μB per formula unit
calculated total energy: -50.22 eV/atom
density: 11.06 g/cm³

Geometry as POSCAR:
```
TlPAu
1.0
0.000 3.190 3.190
3.190 0.000 3.190
3.190 3.190 0.000
Tl P Au
1 1 1
direct
0.000 0.000 0.000 Tl
0.750 0.750 0.750 P
0.500 0.500 0.500 Au
```

---

A plane-wave DFT calculation with SCAN was carried out for a crystal of RuSeS2N relaxed with PBEsol.

Calculated values
SG: P4/mmm, No. 123
crystal system: tetragonal
total magnetic moment: 1.84 μB per formula unit
calculated total energy: -15.18 eV/atom
energy relative to the elements, uncorrected: 1.509 eV/atom
density: 5.57 g/cm³

Geometry as POSCAR:
```
RuSeS2N
1.0
4.692 0.000 0.000
0.000 4.692 0.000
0.000 0.000 3.493
Ru Se S N
1 1 2 1
direct
0.000 0.000 0.000 Ru
0.500 0.500 0.500 Se
0.000 0.500 0.500 S
0.500 0.000 0.500 S
0.500 0.500 0.000 N
```

---

A plane-wave DFT calculation with SCAN was carried out for a crystal of CrFeAs relaxed with PBEsol.

Calculated values
SG: P-62m, No. 189
ΔH_f (0 K): -0.208 eV/atom
crystal system: hexagonal
total magnetic moment: 2.27 μB per formula unit
calculated total energy: -19.11 eV/atom
density: 8.30 g/cm³

Geometry as POSCAR:
```
CrFeAs
1.0
5.912 0.000 0.000
-2.956 5.120 0.000
0.000 0.000 3.623
Cr Fe As
3 3 3
direct
0.000 0.585 0.000 Cr
0.415 0.415 0.000 Cr
0.585 0.000 0.000 Cr
0.000 0.247 0.500 Fe
0.247 0.000 0.500 Fe
0.753 0.753 0.500 Fe
0.000 0.000 0.000 As
0.333 0.667 0.500 As
0.667 0.333 0.500 As
```